Tl3Os5 | PBE | relaxed

CIF file:
```
data_Tl3Os5
_chemical_formula_sum 'Tl6 Os10'
_cell_length_a 4.587
_cell_length_b 8.849
_cell_length_c 9.043
_cell_angle_alpha 86.25
_cell_angle_beta 77.97
_cell_angle_gamma 78.72
_symmetry_space_group_name_H-M 'P 1'
_symmetry_Int_Tables_number 1
loop_
_symmetry_equiv_pos_as_xyz
'x,y,z'
loop_
_atom_site_label
_atom_site_type_symbol
_atom_site_fract_x
_atom_site_fract_y
_atom_site_fract_z
_atom_site_occupancy
Tl1 Tl 0.000 0.000 0.000 1
Tl2 Tl 0.019 0.510 0.352 1
Tl3 Tl 0.372 0.254 0.077 1
Tl4 Tl 0.469 0.410 0.591 1
Tl5 Tl 0.498 0.778 0.173 1
Tl6 Tl 0.824 0.499 0.845 1
Os1 Os 0.002 0.210 0.689 1
Os2 Os 0.155 0.199 0.385 1
Os3 Os 0.220 0.731 0.787 1
Os4 Os 0.394 0.731 0.497 1
Os5 Os 0.455 0.005 0.539 1
Os6 Os 0.488 0.129 0.787 1
Os7 Os 0.626 0.826 0.864 1
Os8 Os 0.764 0.104 0.301 1
Os9 Os 0.911 0.818 0.392 1
Os10 Os 0.943 0.938 0.633 1
```

## Properties
formation enthalpy at 0 K = 0.759 eV/atom
density = 14.76 g/cm3
M_tot = 0.00 μB/f.u.